# 1
Computed, not measured: a relaxed Tb3Pr2YSb6 crystal at the PBE level of DFT.

**Energy**: -5.71 eV per atom
**Spin magnetization**: 0.000 μB/f.u.

a = 9.9565 Å, b = 9.9565 Å, c = 8.9053 Å
α = 102.89°, β = 102.89°, γ = 25.86°
Closest atoms and distances in Å follow each position.
Fractional positions:
Tb  0.0000  0.0000  0.0000  6 Sb 3.11-3.15
Tb  0.3321  0.3321  0.6661  6 Sb 3.11-3.14
Tb  0.6679  0.6679  0.3339  6 Sb 3.11-3.14
Pr  0.3343  0.3343  0.1678  6 Sb 3.19-3.21
Pr  0.6657  0.6657  0.8322  6 Sb 3.19-3.21
Y  0.0000  0.0000  0.5000  6 Sb 3.13-3.15
Sb  0.1647  0.1647  0.0888  3 Tb 3.11, 3 Pr 3.19-3.21
Sb  0.1659  0.1659  0.5760  3 Tb 3.11-3.14, 1 Y 3.13, 2 Pr 3.19
Sb  0.4969  0.4969  0.7479  3 Tb 3.11-3.15, 2 Y 3.15, 1 Pr 3.19
Sb  0.5031  0.5031  0.2521  3 Tb 3.11-3.15, 2 Y 3.15, 1 Pr 3.19
Sb  0.8341  0.8341  0.4240  3 Tb 3.11-3.14, 1 Y 3.13, 2 Pr 3.19
Sb  0.8353  0.8353  0.9112  3 Tb 3.11, 3 Pr 3.19-3.21

=====

# 2
Computed, not measured: a relaxed PrTcSb3 crystal at the PBE level of DFT.

**Energy**: -6.02 eV per atom
**Spin magnetization**: 0.000 μB/f.u.

a = 13.0022 Å, b = 6.2437 Å, c = 6.2021 Å
α = 90.00°, β = 90.00°, γ = 90.00°
Closest atoms and distances in Å follow each position.
Fractional positions:
Pr  0.1942  0.0059  0.2500  9 Sb 3.28-3.39, 2 Tc 3.45
Pr  0.1942  0.4941  0.7500  9 Sb 3.28-3.39, 2 Tc 3.45
Pr  0.8058  0.5059  0.2500  9 Sb 3.28-3.39, 2 Tc 3.45
Pr  0.8058  0.9941  0.7500  9 Sb 3.28-3.39, 2 Tc 3.45
Tc  0.4005  0.2500  0.0000  6 Sb 2.71-2.74
Tc  0.4005  0.2500  0.5000  6 Sb 2.71-2.74
Tc  0.5995  0.7500  0.0000  6 Sb 2.71-2.74
Tc  0.5995  0.7500  0.5000  6 Sb 2.71-2.74
Sb  0.0011  0.2500  0.0000  4 Sb 3.10-3.12, 4 Pr 3.32-3.38
Sb  0.0011  0.2500  0.5000  4 Sb 3.10-3.12, 4 Pr 3.32-3.38
Sb  0.2855  0.5142  0.2500  2 Tc 2.71
Sb  0.2855  0.9858  0.7500  2 Tc 2.71
Sb  0.4411  0.6007  0.7500  4 Tc 2.73-2.74
Sb  0.4411  0.8993  0.2500  4 Tc 2.73-2.74
Sb  0.5589  0.1007  0.7500  4 Tc 2.73-2.74
Sb  0.5589  0.3993  0.2500  4 Tc 2.73-2.74
Sb  0.7145  0.0142  0.2500  2 Tc 2.71
Sb  0.7145  0.4858  0.7500  2 Tc 2.71
Sb  0.9989  0.7500  0.0000  4 Sb 3.10-3.12, 4 Pr 3.32-3.38
Sb  0.9989  0.7500  0.5000  4 Sb 3.10-3.12, 4 Pr 3.32-3.38

=====

# 3
Computed, not measured: a relaxed PrTcSb crystal at the PBE level of DFT.

**Energy**: -6.77 eV per atom
**Spin magnetization**: 0.000 μB/f.u.

a = 10.8544 Å, b = 4.5842 Å, c = 6.6944 Å
α = 90.00°, β = 100.89°, γ = 90.00°
Closest atoms and distances in Å follow each position.
Fractional positions:
Pr  0.1189  0.0000  0.2658  4 Tc 3.10-3.39, 4 Sb 3.16-3.32
Pr  0.3811  0.5000  0.7342  4 Tc 3.10-3.39, 4 Sb 3.16-3.32
Pr  0.6189  0.5000  0.2658  4 Tc 3.10-3.39, 4 Sb 3.16-3.32
Pr  0.8811  0.0000  0.7342  4 Tc 3.10-3.39, 4 Sb 3.16-3.32
Tc  0.0965  0.5000  0.9496  1 Tc 2.32
Tc  0.4035  0.0000  0.0504  1 Tc 2.32
Tc  0.5965  0.0000  0.9496  1 Tc 2.32
Tc  0.9035  0.5000  0.0504  1 Tc 2.32
Sb  0.1757  0.0000  0.7713  3 Tc 2.79-2.80
Sb  0.3243  0.5000  0.2287  3 Tc 2.79-2.80
Sb  0.6757  0.5000  0.7713  3 Tc 2.79-2.80
Sb  0.8243  0.0000  0.2287  3 Tc 2.79-2.80

=====

# 4
Computed, not measured: a relaxed PrTc4Sb12 crystal at the PBE level of DFT.

**Energy**: -5.74 eV per atom
**Spin magnetization**: 2.542 μB/f.u.

a = 8.2257 Å, b = 8.2257 Å, c = 8.2257 Å
α = 109.47°, β = 109.47°, γ = 109.47°
Closest atoms and distances in Å follow each position.
Fractional positions:
Pr  0.0000  0.0000  0.0000  12 Sb 3.54
Tc  0.0000  0.0000  0.5000  6 Sb 2.66
Tc  0.0000  0.5000  0.0000  6 Sb 2.66
Tc  0.5000  0.0000  0.0000  6 Sb 2.66
Tc  0.5000  0.5000  0.5000  6 Sb 2.66
Sb  0.1582  0.3370  0.4952  2 Tc 2.66
Sb  0.1582  0.6630  0.8213  2 Tc 2.66
Sb  0.1787  0.8418  0.3370  2 Tc 2.66
Sb  0.3370  0.1787  0.8418  2 Tc 2.66
Sb  0.3370  0.4952  0.1582  2 Tc 2.66
Sb  0.4952  0.1582  0.3370  2 Tc 2.66
Sb  0.5048  0.8418  0.6630  2 Tc 2.66
Sb  0.6630  0.5048  0.8418  2 Tc 2.66
Sb  0.6630  0.8213  0.1582  2 Tc 2.66
Sb  0.8213  0.1582  0.6630  2 Tc 2.66
Sb  0.8418  0.3370  0.1787  2 Tc 2.66
Sb  0.8418  0.6630  0.5048  2 Tc 2.66

=====

# 5
Computed, not measured: a relaxed PrSbTe crystal at the PBE level of DFT.

**Energy**: -5.17 eV per atom
**Spin magnetization**: 0.000 μB/f.u.

a = 4.3798 Å, b = 4.3798 Å, c = 19.2909 Å
α = 90.00°, β = 90.00°, γ = 90.00°
Closest atoms and distances in Å follow each position.
Fractional positions:
Pr  0.0000  0.0000  0.1379  5 Te 3.25-3.35, 4 Sb 3.45
Pr  0.0000  0.0000  0.8621  5 Te 3.25-3.35, 4 Sb 3.45
Pr  0.5000  0.5000  0.3621  5 Te 3.25-3.35, 4 Sb 3.45
Pr  0.5000  0.5000  0.6379  5 Te 3.25-3.35, 4 Sb 3.45
Sb  0.0000  0.5000  0.0000  4 Sb 3.10, 4 Pr 3.45
Sb  0.0000  0.5000  0.5000  4 Sb 3.10, 4 Pr 3.45
Sb  0.5000  0.0000  0.0000  4 Sb 3.10, 4 Pr 3.45
Sb  0.5000  0.0000  0.5000  4 Sb 3.10, 4 Pr 3.45
Te  0.0000  0.0000  0.3115  5 Pr 3.25-3.35
Te  0.0000  0.0000  0.6885  5 Pr 3.25-3.35
Te  0.5000  0.5000  0.1885  5 Pr 3.25-3.35
Te  0.5000  0.5000  0.8115  5 Pr 3.25-3.35

=====

# 6
Computed, not measured: a relaxed Pr10Sb3Te3 crystal at the PBE level of DFT.

**Energy**: -5.39 eV per atom
**Spin magnetization**: 0.013 μB/f.u.

a = 9.4238 Å, b = 9.4238 Å, c = 6.5048 Å
α = 90.00°, β = 90.00°, γ = 120.00°
Closest atoms and distances in Å follow each position.
Fractional positions:
Pr  0.0000  0.2545  0.0000  3 Sb 3.20-3.39, 2 Te 3.48
Pr  0.0000  0.7454  0.5000  3 Te 3.19-3.40, 2 Sb 3.48
Pr  0.2545  0.0000  0.0000  3 Sb 3.20-3.39, 2 Te 3.48
Pr  0.2546  0.2546  0.5000  3 Te 3.19-3.40, 2 Sb 3.48
Pr  0.3333  0.6667  0.2479  2 Pr 3.22-3.28, 3 Sb 3.34, 3 Te 3.36
Pr  0.3333  0.6667  0.7521  2 Pr 3.22-3.28, 3 Sb 3.34, 3 Te 3.36
Pr  0.6667  0.3333  0.2479  2 Pr 3.22-3.28, 3 Sb 3.34, 3 Te 3.36
Pr  0.6667  0.3333  0.7521  2 Pr 3.22-3.28, 3 Sb 3.34, 3 Te 3.36
Pr  0.7454  0.0000  0.5000  3 Te 3.19-3.40, 2 Sb 3.48
Pr  0.7455  0.7455  0.0000  3 Sb 3.20-3.39, 2 Te 3.48
Sb  0.0000  0.6144  0.0000  9 Pr 3.20-3.48
Sb  0.3856  0.3856  0.0000  9 Pr 3.20-3.48
Sb  0.6144  0.0000  0.0000  9 Pr 3.20-3.48
Te  0.0000  0.3845  0.5000  9 Pr 3.19-3.48
Te  0.3845  0.0000  0.5000  9 Pr 3.19-3.48
Te  0.6155  0.6155  0.5000  9 Pr 3.19-3.48

=====

# 7
Computed, not measured: a relaxed Pr6Sb5Te crystal at the PBE level of DFT.

**Energy**: -5.63 eV per atom
**Spin magnetization**: 0.000 μB/f.u.

a = 7.8904 Å, b = 7.8904 Å, c = 7.8843 Å
α = 99.60°, β = 99.60°, γ = 119.94°
Closest atoms and distances in Å follow each position.
Fractional positions:
Pr  0.0782  0.4157  0.7473  5 Sb 3.19-3.22, 1 Te 3.26
Pr  0.2465  0.2465  0.2524  5 Sb 3.18-3.22, 1 Te 3.26
Pr  0.4157  0.0782  0.7473  5 Sb 3.19-3.22, 1 Te 3.26
Pr  0.5843  0.9218  0.2527  5 Sb 3.19-3.22, 1 Te 3.26
Pr  0.7535  0.7535  0.7476  5 Sb 3.18-3.22, 1 Te 3.26
Pr  0.9218  0.5843  0.2527  5 Sb 3.19-3.22, 1 Te 3.26
Sb  0.0000  0.0000  0.5000  6 Pr 3.18-3.22
Sb  0.1670  0.8330  0.0000  6 Pr 3.22
Sb  0.3347  0.6653  0.5000  6 Pr 3.19-3.22
Sb  0.6653  0.3347  0.5000  6 Pr 3.19-3.22
Sb  0.8330  0.1670  0.0000  6 Pr 3.22
Te  0.5000  0.5000  0.0000  6 Pr 3.26

=====

# 8
Computed, not measured: a relaxed Pr8Sb2Te crystal at the PBE level of DFT.

**Energy**: -5.13 eV per atom
**Spin magnetization**: 0.001 μB/f.u.

a = 9.8028 Å, b = 9.8028 Å, c = 8.2743 Å
α = 93.63°, β = 93.63°, γ = 27.91°
Closest atoms and distances in Å follow each position.
Fractional positions:
Pr  0.0009  0.0009  0.2495  2 Te 3.14, 1 Sb 3.33
Pr  0.2159  0.2159  0.8614  3 Sb 3.35-3.48, 7 Pr 3.48-3.67
Pr  0.3348  0.3348  0.4648  1 Te 3.14, 3 Sb 3.26-3.34
Pr  0.3999  0.3999  0.9824  2 Sb 3.40, 8 Pr 3.53-3.80
Pr  0.6001  0.6001  0.0176  2 Sb 3.40, 8 Pr 3.53-3.80
Pr  0.6652  0.6652  0.5352  1 Te 3.14, 3 Sb 3.26-3.34
Pr  0.7841  0.7841  0.1386  3 Sb 3.35-3.48, 7 Pr 3.48-3.67
Pr  0.9991  0.9991  0.7505  2 Te 3.14, 1 Sb 3.33
Sb  0.1763  0.1763  0.2667  9 Pr 3.26-3.48
Sb  0.8237  0.8237  0.7333  9 Pr 3.26-3.48
Te  0.5000  0.5000  0.5000  6 Pr 3.14